The following is a DFT calculation (PBE-GGA) of an optimized crystal structure of Pr7Pb2Au2.

The structure in POSCAR format:
```
Pr7Pb2Au2
1.0
4.360 -5.887 0.000
4.360 5.887 0.000
0.000 0.000 7.298
Pr Pb Au
7 2 2
Direct
0.000 0.000 0.000 Pr
0.000 0.500 0.266 Pr
0.000 0.500 0.734 Pr
0.500 0.000 0.266 Pr
0.500 0.000 0.734 Pr
0.500 0.500 0.242 Pr
0.500 0.500 0.758 Pr
0.178 0.178 0.500 Pb
0.822 0.822 0.500 Pb
0.281 0.719 0.000 Au
0.719 0.281 0.000 Au
```

Summary:
Uncorrected energy in eV/cell: -50.771
E_form in eV per atom: -0.3039